No. 1
{"formula": "Ba2CaGa2CuF14", "functional": "PBEsol", "state": "optimized geometry", "lattice_angstrom": [[6.8726, -2.6596, 0.0000], [6.8726, 2.6596, 0.0000], [-0.4363, 0.0000, 14.6784]], "species": ["Ba", "Ba", "Ba", "Ba", "Ca", "Ca", "Ga", "Ga", "Ga", "Ga", "Cu", "Cu", "F", "F", "F", "F", "F", "F", "F", "F", "F", "F", "F", "F", "F", "F", "F", "F", "F", "F", "F", "F", "F", "F", "F", "F", "F", "F", "F", "F"], "fractional_positions": [[0.1195, 0.2612, 0.1220], [0.2612, 0.1195, 0.6220], [0.7388, 0.8805, 0.3780], [0.8805, 0.7388, 0.8780], [0.4160, 0.5840, 0.2500], [0.5840, 0.4160, 0.7500], [0.0939, 0.1478, 0.3755], [0.1478, 0.0939, 0.8755], [0.8522, 0.9061, 0.1245], [0.9061, 0.8522, 0.6245], [0.5000, 0.5000, 0.0000], [0.5000, 0.5000, 0.5000], [0.0379, 0.6454, 0.2229], [0.0598, 0.9255, 0.3460], [0.0745, 0.9402, 0.1540], [0.1243, 0.6014, 0.0459], [0.1260, 0.7029, 0.5181], [0.1620, 0.3428, 0.4037], [0.1765, 0.5803, 0.7079], [0.2971, 0.8740, 0.9819], [0.3428, 0.1620, 0.9037], [0.3546, 0.9621, 0.2771], [0.3851, 0.5063, 0.8839], [0.3986, 0.8757, 0.4541], [0.4197, 0.8235, 0.7921], [0.4937, 0.6149, 0.6161], [0.5063, 0.3851, 0.3839], [0.5803, 0.1765, 0.2079], [0.6014, 0.1243, 0.5459], [0.6149, 0.4937, 0.1161], [0.6454, 0.0379, 0.7229], [0.6572, 0.8380, 0.0963], [0.7029, 0.1260, 0.0181], [0.8235, 0.4197, 0.2921], [0.8380, 0.6572, 0.5963], [0.8740, 0.2971, 0.4819], [0.8757, 0.3986, 0.9541], [0.9255, 0.0598, 0.8460], [0.9402, 0.0745, 0.6540], [0.9621, 0.3546, 0.7771]], "raw_formation_energy_ev_per_atom": -3.094, "volume_a3_per_cell": 536.6}

=====

No. 2
{"formula": "BaLaCl2", "functional": "PBEsol", "state": "optimized geometry", "lattice_angstrom": [[1.9822, 1.1444, 7.7787], [-1.9822, 1.1444, 7.7787], [0.0000, -2.2889, 7.7787]], "species": ["Ba", "La", "Cl", "Cl"], "fractional_positions": [[0.0000, 0.0000, 0.0000], [0.5000, 0.5000, 0.5000], [0.2453, 0.2453, 0.2453], [0.7547, 0.7547, 0.7547]], "raw_formation_energy_ev_per_atom": -1.674, "volume_a3_per_cell": 105.9}

=====

No. 3
{"formula": "KInBr4", "functional": "PBEsol", "state": "optimized geometry", "lattice_angstrom": [[7.8322, 0.0000, 0.0000], [0.0000, 10.3199, 0.0000], [0.0000, 0.0000, 10.3615]], "species": ["K", "K", "K", "K", "In", "In", "In", "In", "Br", "Br", "Br", "Br", "Br", "Br", "Br", "Br", "Br", "Br", "Br", "Br", "Br", "Br", "Br", "Br"], "fractional_positions": [[0.1785, 0.2500, 0.2500], [0.3215, 0.7500, 0.2500], [0.6785, 0.2500, 0.7500], [0.8215, 0.7500, 0.7500], [0.2500, 0.0000, 0.6793], [0.2500, 0.5000, 0.8207], [0.7500, 0.0000, 0.3207], [0.7500, 0.5000, 0.1793], [0.0059, 0.5427, 0.3216], [0.0059, 0.9573, 0.1784], [0.1535, 0.6913, 0.9529], [0.1535, 0.8087, 0.5471], [0.3465, 0.1913, 0.5471], [0.3465, 0.3087, 0.9529], [0.4941, 0.0427, 0.1784], [0.4941, 0.4573, 0.3216], [0.5059, 0.5427, 0.6784], [0.5059, 0.9573, 0.8216], [0.6535, 0.6913, 0.0471], [0.6535, 0.8087, 0.4529], [0.8465, 0.1913, 0.4529], [0.8465, 0.3087, 0.0471], [0.9941, 0.0427, 0.8216], [0.9941, 0.4573, 0.6784]], "raw_formation_energy_ev_per_atom": -1.125, "volume_a3_per_cell": 837.5}